Record 1
The following is a PBE+U calculation of a relaxed KNiPO2 crystal, from Alexandria.

Values from the calculation:
- excess energy over the best structure of this formula in the dataset (meV/atom) = 1302

Lattice parameters (Å, degrees): 4.3935 4.3935 6.4982 90.00 90.00 90.00
With the nearest neighbours (Å) after each atom.
Space group P4/mmm (No. 123)
Symmetry-distinct sites (fractional):
K (0.0000, 0.0000, 0.0000) x1  4 O 2.20
Ni (0.5000, 0.5000, 0.5000) x1  4 P 3.11
P (0.0000, 0.0000, 0.5000) x1  4 Ni 3.11, 2 K 3.25
O (0.0000, 0.5000, 0.0000) x2  2 K 2.20

***

Record 2
The following is a PBE+U calculation of a relaxed KPa2NiO8 crystal, from Alexandria.

Values from the calculation:
- DFT total energy (eV/atom) = -7.391

Lattice parameters (Å, degrees): 5.0436 5.0436 7.9723 90.00 90.00 120.00
With the nearest neighbours (Å) after each atom.
Space group P-3m1 (No. 164)
Symmetry-distinct sites (fractional):
K (0.0000, 0.0000, 0.0000) x1  12 O 3.08-3.32
Pa (0.3333, 0.6667, 0.3628) x2  1 O 1.89
Ni (0.0000, 0.0000, 0.5000) x1  6 O 1.83
O (0.1727, 0.3453, 0.6294) x6  1 Ni 1.83
O (0.3333, 0.6667, 0.1263) x2  1 Pa 1.89

***

Record 3
The following is a PBE+U calculation of a relaxed K2PaNiO4 crystal, from Alexandria.

Values from the calculation:
- DFT total energy (eV/atom) = -6.373

Lattice parameters (Å, degrees): 6.0928 3.4939 6.6974 90.00 113.51 90.00
With the nearest neighbours (Å) after each atom.
Space group P2/m (No. 10)
Symmetry-distinct sites (fractional):
K (0.0000, 0.0000, 0.0000) x1  6 O 2.58-2.82
K (0.5000, 0.5000, 0.0000) x1  4 O 2.74
Pa (0.0000, 0.5000, 0.5000) x1  6 O 2.12-2.25
Ni (0.5000, 0.0000, 0.5000) x1  4 O 2.28
O (0.1845, 0.0000, 0.7136) x2  2 Pa 2.25
O (0.2472, 0.5000, 0.3490) x2  1 Pa 2.12, 2 Ni 2.28

***

Record 4
The following is a PBE+U calculation of a relaxed K2Pa3NiO12 crystal, from Alexandria.

Values from the calculation:
- DFT total energy (eV/atom) = -7.439

Lattice parameters (Å, degrees): 7.9996 7.9996 17.9274 90.00 90.00 120.00
With the nearest neighbours (Å) after each atom.
Space group R-3m (No. 166, hexagonal axes)
Symmetry-distinct sites (fractional):
K (0.0000, 0.0000, 0.1485) x6  9 O 3.20-3.54
Pa (0.0000, 0.5000, 0.0000) x9  6 O 2.11-2.17
Ni (0.0000, 0.0000, 0.5000) x3  6 O 1.85
O (0.0842, 0.5421, 0.3682) x18  2 Pa 2.17
O (0.1106, 0.2212, 0.4426) x18  1 Ni 1.85

***

Record 5
The following is a PBE+U calculation of a relaxed K4Pa3NiO12 crystal, from Alexandria.

Values from the calculation:
- DFT total energy (eV/atom) = -7.180

Lattice parameters (Å, degrees): 8.6150 8.6150 8.6150 90.00 90.00 90.00
With the nearest neighbours (Å) after each atom.
Space group Im-3m (No. 229)
Symmetry-distinct sites (fractional):
K (0.2500, 0.2500, 0.2500) x8  12 O 3.05
Pa (0.0000, 0.0000, 0.5000) x6  6 O 2.12-2.15
Ni (0.0000, 0.0000, 0.0000) x2  6 O 2.19
O (0.0000, 0.0000, 0.2538) x12  1 Pa 2.12, 1 Ni 2.19
O (0.0000, 0.2500, 0.5000) x12  2 Pa 2.15

***

Record 6
The following is a PBE+U calculation of a relaxed KNiPbO2 crystal, from Alexandria.

Values from the calculation:
- DFT total energy (eV/atom) = -3.571

Lattice parameters (Å, degrees): 4.5253 4.5253 4.9760 90.00 90.00 90.00
With the nearest neighbours (Å) after each atom.
Space group P4/mmm (No. 123)
Symmetry-distinct sites (fractional):
K (0.0000, 0.0000, 0.0000) x1  4 Ni 3.20, 8 O 3.36
Ni (0.5000, 0.5000, 0.0000) x1  2 Pb 2.49
Pb (0.5000, 0.5000, 0.5000) x1  4 O 2.26, 2 Ni 2.49
O (0.0000, 0.5000, 0.5000) x2  2 Pb 2.26

***

Record 7
The following is a PBE+U calculation of a relaxed K4NiPd3O8 crystal, from Alexandria.

Values from the calculation:
- DFT total energy (eV/atom) = -4.771

Lattice parameters (Å, degrees): 12.0624 6.2994 6.8127 90.00 120.96 90.00
With the nearest neighbours (Å) after each atom.
Space group C2/m (No. 12)
Symmetry-distinct sites (fractional):
K (0.0000, 0.0000, 0.0000) x2  6 O 2.49-2.71
K (0.0000, 0.5000, 0.0000) x2  6 O 2.68-2.75
K (0.2500, 0.2500, 0.0000) x4  4 O 2.59-2.63
Ni (0.0000, 0.0000, 0.5000) x2  4 O 2.10
Pd (0.0000, 0.5000, 0.5000) x2  4 O 2.06
Pd (0.2500, 0.2500, 0.5000) x4  6 O 2.05-2.12
O (0.0466, 0.2546, 0.3560) x8  2 Pd 2.06-2.12, 1 Ni 2.10
O (0.2346, 0.0000, 0.2943) x4  2 Pd 2.05
O (0.2390, 0.0000, 0.6884) x4  2 Pd 2.08

***

Record 8
The following is a PBE+U calculation of a relaxed KNiPdO3 crystal, from Alexandria.

Values from the calculation:
- DFT total energy (eV/atom) = -4.548

Lattice parameters (Å, degrees): 4.5121 12.1031 6.8642 90.00 90.00 90.00
With the nearest neighbours (Å) after each atom.
Space group Cmcm (No. 63)
Symmetry-distinct sites (fractional):
K (0.0000, 0.2311, 0.2500) x4  2 O 2.69
Ni (0.0000, 0.0000, 0.0000) x4  2 O 1.79
Pd (0.0000, 0.4931, 0.2500) x4  6 O 2.11-2.29
O (0.0000, 0.0415, 0.7500) x4  2 Ni 1.79
O (0.0000, 0.3959, 0.5129) x8  2 Pd 2.11-2.15